First-principles (PBE) data for Ho2Mn17C3 after structural relaxation, as listed in Alexandria.

Summary:
Formation energy from the elements = -97.9 meV/atom
Size of the total moment = 8.4 μB per cell
Total energy = -8.86 eV per atom
Energy above the most stable polymorph in this dataset = 0 meV/atom

Cell lengths 6.4414, 6.4414, 6.4414 Å; angles 83.12, 83.12, 83.12 degrees
With the nearest neighbours (Å) after each atom.
Atoms (fractional coordinates):
Ho1 0.1505 0.1505 0.1505  3 C 2.48
Ho2 0.8495 0.8495 0.8495  3 C 2.48
Mn1 0.0000 0.5000 0.5000  10 Mn 2.42-2.62
Mn2 0.1599 0.1599 0.6384  1 C 1.90
Mn3 0.1599 0.6384 0.1599  1 C 1.90
Mn4 0.2205 0.5000 0.7795  1 C 1.88
Mn5 0.2205 0.7795 0.5000  1 C 1.88
Mn6 0.3616 0.8401 0.8401  1 C 1.90
Mn7 0.4045 0.4045 0.4045  7 Mn 2.37-2.62
Mn8 0.5000 0.0000 0.5000  10 Mn 2.42-2.62
Mn9 0.5000 0.2205 0.7795  1 C 1.88
Mn10 0.5000 0.5000 0.0000  10 Mn 2.42-2.62
Mn11 0.5000 0.7795 0.2205  1 C 1.88
Mn12 0.5955 0.5955 0.5955  7 Mn 2.37-2.62
Mn13 0.6384 0.1599 0.1599  1 C 1.90
Mn14 0.7795 0.2205 0.5000  1 C 1.88
Mn15 0.7795 0.5000 0.2205  1 C 1.88
Mn16 0.8401 0.3616 0.8401  1 C 1.90
Mn17 0.8401 0.8401 0.3616  1 C 1.90
C1 0.0000 0.0000 0.5000  4 Mn 1.88-1.90
C2 0.0000 0.5000 0.0000  4 Mn 1.88-1.90
C3 0.5000 0.0000 0.0000  4 Mn 1.88-1.90

First-principles (PBE) data for Ho2MnC after structural relaxation, as listed in Alexandria.

Summary:
Formation energy from the elements = 259.7 meV/atom
Size of the total moment = 3.5 μB per cell
Total energy = -6.63 eV per atom

Cell lengths 8.9558, 8.9558, 8.9558 Å; angles 22.27, 22.27, 22.27 degrees
With the nearest neighbours (Å) after each atom.
Atoms (fractional coordinates):
Ho1 0.1154 0.1154 0.1154  3 C 2.41
Ho2 0.8846 0.8846 0.8846  3 C 2.41
Mn1 0.0000 0.0000 0.0000  2 Ho 3.02
C1 0.5000 0.5000 0.5000  6 Ho 2.41

First-principles (PBE) data for HoMnMoC3 after structural relaxation, as listed in Alexandria.

Summary:
Formation energy from the elements = 42.9 meV/atom
Size of the total moment = 0.0 μB per cell
Total energy = -8.67 eV per atom

Cell lengths 6.6532, 3.2629, 7.2901 Å; angles 90.00, 102.78, 90.00 degrees
With the nearest neighbours (Å) after each atom.
Atoms (fractional coordinates):
Ho1 0.1780 0.2500 0.1970  5 C 2.42-2.53
Ho2 0.8220 0.7500 0.8030  5 C 2.42-2.53
Mn1 0.1099 0.2500 0.6036  4 C 1.83-1.93
Mn2 0.8901 0.7500 0.3964  4 C 1.83-1.93
Mo1 0.3532 0.7500 0.8682  5 C 2.07-2.24
Mo2 0.6468 0.2500 0.1318  5 C 2.07-2.24
C1 0.1194 0.2500 0.8570  1 Mn 1.83
C2 0.1780 0.7500 0.5198  3 Mn 1.83-1.93
C3 0.4402 0.7500 0.1593  3 Mo 2.07-2.17
C4 0.5598 0.2500 0.8407  3 Mo 2.07-2.17
C5 0.8220 0.2500 0.4802  3 Mn 1.83-1.93
C6 0.8806 0.7500 0.1430  1 Mn 1.83

First-principles (PBE) data for HoMnMo2C4 after structural relaxation, as listed in Alexandria.

Summary:
Formation energy from the elements = -56.4 meV/atom
Size of the total moment = 0.0 μB per cell
Total energy = -9.09 eV per atom

Cell lengths 5.6378, 5.6378, 10.6098 Å; angles 90.00, 90.00, 147.17 degrees
With the nearest neighbours (Å) after each atom.
Atoms (fractional coordinates):
Ho1 0.1056 0.8944 0.7500  6 C 2.48-2.55
Ho2 0.8944 0.1056 0.2500  6 C 2.48-2.55
Mn1 0.1593 0.8407 0.2500  4 C 1.82-1.86
Mn2 0.8407 0.1593 0.7500  4 C 1.82-1.86
Mo1 0.3728 0.6272 0.5383  3 C 2.01-2.14
Mo2 0.3728 0.6272 0.9617  3 C 2.01-2.14
Mo3 0.6272 0.3728 0.0383  3 C 2.01-2.14
Mo4 0.6272 0.3728 0.4617  3 C 2.01-2.14
C1 0.0000 0.0000 0.0000  4 Mo 2.14
C2 0.0000 0.0000 0.5000  4 Mo 2.14
C3 0.2655 0.7345 0.1164  1 Mn 1.82, 1 Mo 2.01
C4 0.2655 0.7345 0.3836  1 Mn 1.82, 1 Mo 2.01
C5 0.4302 0.5698 0.7500  2 Mn 1.86
C6 0.5698 0.4302 0.2500  2 Mn 1.86
C7 0.7345 0.2655 0.6164  1 Mn 1.82, 1 Mo 2.01
C8 0.7345 0.2655 0.8836  1 Mn 1.82, 1 Mo 2.01

First-principles (PBE) data for Ho2NpMn2C4 after structural relaxation, as listed in Alexandria.

Summary:
Formation energy from the elements = -49.7 meV/atom
Size of the total moment = 0.1 μB per cell
Total energy = -8.64 eV per atom

Cell lengths 6.4539, 6.4539, 5.9639 Å; angles 108.11, 108.11, 29.62 degrees
With the nearest neighbours (Å) after each atom.
Atoms (fractional coordinates):
Ho1 0.1375 0.1375 0.0474  5 C 2.50-2.67
Ho2 0.8625 0.8625 0.9526  5 C 2.50-2.67
Np1 0.0000 0.0000 0.5000  4 C 2.31
Mn1 0.3192 0.3192 0.5018  4 C 1.97-2.04
Mn2 0.6808 0.6808 0.4982  4 C 1.97-2.04
C1 0.2228 0.2228 0.7104  3 Mn 1.99-2.04
C2 0.4698 0.4698 0.7449  1 Mn 1.97
C3 0.5302 0.5302 0.2551  1 Mn 1.97
C4 0.7772 0.7772 0.2896  3 Mn 1.99-2.04

First-principles (PBE) data for HoMn2PC after structural relaxation, as listed in Alexandria.

Summary:
Formation energy from the elements = -704.8 meV/atom
Size of the total moment = 4.0 μB per cell
Total energy = -8.21 eV per atom

Cell lengths 5.5183, 5.5183, 6.8656 Å; angles 90.00, 90.00, 141.62 degrees
With the nearest neighbours (Å) after each atom.
Atoms (fractional coordinates):
Ho1 0.0433 0.9567 0.7500  4 C 2.54
Ho2 0.9567 0.0433 0.2500  4 C 2.54
Mn1 0.3291 0.6709 0.5577  1 C 1.82
Mn2 0.3291 0.6709 0.9423  1 C 1.82
Mn3 0.6709 0.3291 0.0577  1 C 1.82
Mn4 0.6709 0.3291 0.4423  1 C 1.82
P1 0.2338 0.7662 0.2500  6 Mn 2.33-2.34
P2 0.7662 0.2338 0.7500  6 Mn 2.33-2.34
C1 0.5000 0.5000 0.0000  2 Mn 1.82
C2 0.5000 0.5000 0.5000  2 Mn 1.82

First-principles (PBE) data for Ho2PuMn2C4 after structural relaxation, as listed in Alexandria.

Summary:
Formation energy from the elements = -76.7 meV/atom
Size of the total moment = 5.6 μB per cell
Total energy = -8.82 eV per atom

Cell lengths 6.6514, 6.6514, 5.9321 Å; angles 110.53, 110.53, 29.31 degrees
With the nearest neighbours (Å) after each atom.
Atoms (fractional coordinates):
Ho1 0.1370 0.1370 0.0430  7 C 2.57-2.84
Ho2 0.8630 0.8630 0.9570  7 C 2.57-2.84
Pu1 0.0000 0.0000 0.5000  6 C 2.40-2.63
Mn1 0.3179 0.3179 0.5125  4 C 1.88-2.04
Mn2 0.6821 0.6821 0.4875  4 C 1.88-2.04
C1 0.2192 0.2192 0.6956  3 Mn 1.95-2.04
C2 0.4627 0.4627 0.7484  1 Mn 1.88
C3 0.5373 0.5373 0.2516  1 Mn 1.88
C4 0.7808 0.7808 0.3044  3 Mn 1.95-2.04

First-principles (PBE) data for HoMn2SiC after structural relaxation, as listed in Alexandria.

Summary:
Size of the total moment = 5.0 μB per cell
Total energy = -8.03 eV per atom
ΔE_f (raw) = -0.52 eV per atom

Cell lengths 5.5871, 5.5871, 6.9812 Å; angles 90.00, 90.00, 141.38 degrees
With the nearest neighbours (Å) after each atom.
Atoms (fractional coordinates):
Ho1 0.0435 0.9565 0.7500  4 C 2.58
Ho2 0.9565 0.0435 0.2500  4 C 2.58
Mn1 0.3316 0.6684 0.5616  1 C 1.83
Mn2 0.3316 0.6684 0.9384  1 C 1.83
Mn3 0.6684 0.3316 0.0616  1 C 1.83
Mn4 0.6684 0.3316 0.4384  1 C 1.83
Si1 0.2356 0.7644 0.2500  6 Mn 2.38-2.40
Si2 0.7644 0.2356 0.7500  6 Mn 2.38-2.40
C1 0.5000 0.5000 0.0000  2 Mn 1.83
C2 0.5000 0.5000 0.5000  2 Mn 1.83

First-principles (PBE) data for HoTh2MnC4 after structural relaxation, as listed in Alexandria.

Summary:
Formation energy from the elements = 10.1 meV/atom
Size of the total moment = 2.3 μB per cell
Total energy = -8.18 eV per atom

Cell lengths 6.2243, 6.2243, 12.4876 Å; angles 90.00, 90.00, 146.50 degrees
With the nearest neighbours (Å) after each atom.
Atoms (fractional coordinates):
Ho1 0.1098 0.8902 0.7500  4 C 2.66
Ho2 0.8902 0.1098 0.2500  4 C 2.66
Th1 0.3659 0.6341 0.5446  6 C 2.47-2.71
Th2 0.3659 0.6341 0.9554  6 C 2.47-2.71
Th3 0.6341 0.3659 0.0446  6 C 2.47-2.71
Th4 0.6341 0.3659 0.4554  6 C 2.47-2.71
Mn1 0.1733 0.8267 0.2500  4 C 1.81-1.98
Mn2 0.8267 0.1733 0.7500  4 C 1.81-1.98
C1 0.0000 0.0000 0.0000  4 Th 2.47
C2 0.0000 0.0000 0.5000  4 Th 2.47
C3 0.2716 0.7284 0.1400  1 Mn 1.81
C4 0.2716 0.7284 0.3600  1 Mn 1.81
C5 0.3978 0.6022 0.7500  2 Mn 1.98
C6 0.6022 0.3978 0.2500  2 Mn 1.98
C7 0.7284 0.2716 0.6400  1 Mn 1.81
C8 0.7284 0.2716 0.8600  1 Mn 1.81

First-principles (PBE) data for Ho2ThMnC4 after structural relaxation, as listed in Alexandria.

Summary:
Formation energy from the elements = -133.1 meV/atom
Size of the total moment = 1.3 μB per cell
Total energy = -7.96 eV per atom

Cell lengths 6.1482, 6.1482, 11.8600 Å; angles 90.00, 90.00, 147.17 degrees
With the nearest neighbours (Å) after each atom.
Atoms (fractional coordinates):
Ho1 0.1312 0.8688 0.5448  6 C 2.39-2.60
Ho2 0.1312 0.8688 0.9552  6 C 2.39-2.60
Ho3 0.8688 0.1312 0.0448  6 C 2.39-2.60
Ho4 0.8688 0.1312 0.4552  6 C 2.39-2.60
Th1 0.4120 0.5880 0.7500  6 C 2.73-2.79
Th2 0.5880 0.4120 0.2500  6 C 2.73-2.79
Mn1 0.3251 0.6749 0.2500  2 C 1.75
Mn2 0.6749 0.3251 0.7500  2 C 1.75
C1 0.0900 0.9100 0.7500  2 Mn 2.00
C2 0.2320 0.7680 0.1348  1 Mn 1.75
C3 0.2320 0.7680 0.3652  1 Mn 1.75
C4 0.5000 0.5000 0.0000  4 Ho 2.39
C5 0.5000 0.5000 0.5000  4 Ho 2.39
C6 0.7680 0.2320 0.6348  1 Mn 1.75
C7 0.7680 0.2320 0.8652  1 Mn 1.75
C8 0.9100 0.0900 0.2500  2 Mn 2.00